A relaxed structure of BaGaAsSe2, computed with PBE.

Summary:
The uncorrected formation energy comes out at -58.1 kJ/mol of atoms. Its energy above the most stable polymorph in this dataset is 0 meV/atom.

Cell and atoms, written as CIF:
```
data_BaGaAsSe2
_chemical_formula_sum 'Ba1 Ga1 As1 Se2'
_cell_length_a 5.311
_cell_length_b 5.311
_cell_length_c 4.857
_cell_angle_alpha 90.00
_cell_angle_beta 90.00
_cell_angle_gamma 90.00
_space_group_name_H-M_alt 'P 1'
_space_group_IT_number 1
loop_
_space_group_symop_operation_xyz
'x,y,z'
loop_
_atom_site_label
_atom_site_type_symbol
_atom_site_fract_x
_atom_site_fract_y
_atom_site_fract_z
As1 As 0.000 0.000 0.500
Ba1 Ba 0.500 0.500 0.500
Ga1 Ga 0.000 0.000 0.000
Se1 Se 0.500 0.000 0.000
Se2 Se 0.000 0.500 0.000
```

***

A relaxed structure of BaGaAsSe2, computed with PBE.

Summary:
The uncorrected formation energy comes out at 38.8 kJ/mol of atoms. Its energy above the most stable polymorph in this dataset is 1004 meV/atom.

Cell and atoms, written as CIF:
```
data_BaGaAsSe2
_chemical_formula_sum 'Ba1 Ga1 As1 Se2'
_cell_length_a 6.150
_cell_length_b 6.150
_cell_length_c 6.246
_cell_angle_alpha 90.00
_cell_angle_beta 90.00
_cell_angle_gamma 90.00
_space_group_name_H-M_alt 'P 1'
_space_group_IT_number 1
loop_
_space_group_symop_operation_xyz
'x,y,z'
loop_
_atom_site_label
_atom_site_type_symbol
_atom_site_fract_x
_atom_site_fract_y
_atom_site_fract_z
Ga1 Ga 0.500 0.500 0.500
As1 As 0.000 0.000 0.500
Se1 Se 0.000 0.500 0.000
Se2 Se 0.500 0.000 0.000
Ba1 Ba 0.000 0.000 0.000
```

***

A relaxed structure of BaGaAs2Se8, computed with PBE.

Summary:
The uncorrected formation energy comes out at -35.2 kJ/mol of atoms.

Cell and atoms, written as CIF:
```
data_BaGaAs2Se8
_chemical_formula_sum 'Ba1 Ga1 As2 Se8'
_cell_length_a 6.450
_cell_length_b 6.450
_cell_length_c 9.586
_cell_angle_alpha 90.00
_cell_angle_beta 90.00
_cell_angle_gamma 120.00
_space_group_name_H-M_alt 'P 1'
_space_group_IT_number 1
loop_
_space_group_symop_operation_xyz
'x,y,z'
loop_
_atom_site_label
_atom_site_type_symbol
_atom_site_fract_x
_atom_site_fract_y
_atom_site_fract_z
Ga1 Ga 0.000 0.000 0.500
As1 As 0.333 0.667 0.743
As2 As 0.667 0.333 0.257
Se1 Se 0.721 0.710 0.691
Se2 Se 0.667 0.333 0.013
Se3 Se 0.710 0.989 0.309
Se4 Se 0.333 0.667 0.987
Se5 Se 0.989 0.279 0.691
Se6 Se 0.279 0.290 0.309
Se7 Se 0.011 0.721 0.309
Se8 Se 0.290 0.011 0.691
Ba1 Ba 0.000 0.000 0.000
```

***

A relaxed structure of BaGaAs2Se, computed with PBE.

Summary:
The uncorrected formation energy comes out at 8.9 kJ/mol of atoms. Its energy above the most stable polymorph in this dataset is 448 meV/atom.

Cell and atoms, written as CIF:
```
data_BaGaAs2Se
_chemical_formula_sum 'Ba1 Ga1 As2 Se1'
_cell_length_a 5.230
_cell_length_b 5.916
_cell_length_c 5.230
_cell_angle_alpha 90.00
_cell_angle_beta 90.00
_cell_angle_gamma 90.00
_space_group_name_H-M_alt 'P 1'
_space_group_IT_number 1
loop_
_space_group_symop_operation_xyz
'x,y,z'
loop_
_atom_site_label
_atom_site_type_symbol
_atom_site_fract_x
_atom_site_fract_y
_atom_site_fract_z
Se1 Se 0.000 0.000 0.000
Ga1 Ga 0.500 0.500 0.500
As1 As 0.500 0.000 0.000
As2 As 0.000 0.000 0.500
Ba1 Ba 0.000 0.500 0.000
```

***

A relaxed structure of Ba2GaSnAs, computed with PBE.

Summary:
The formation energy comes out at -3.802 eV/f.u.

Cell and atoms, written as CIF:
```
data_Ba2GaSnAs
_chemical_formula_sum 'Ba4 Ga2 Sn2 As2'
_cell_length_a 4.666
_cell_length_b 8.029
_cell_length_c 10.264
_cell_angle_alpha 107.34
_cell_angle_beta 90.00
_cell_angle_gamma 90.00
_space_group_name_H-M_alt 'P 1'
_space_group_IT_number 1
loop_
_space_group_symop_operation_xyz
'x,y,z'
loop_
_atom_site_label
_atom_site_type_symbol
_atom_site_fract_x
_atom_site_fract_y
_atom_site_fract_z
Ga1 Ga 0.250 0.514 0.739
Ga2 Ga 0.750 0.486 0.261
Ba1 Ba 0.750 0.762 0.031
Ba2 Ba 0.750 0.800 0.598
Ba3 Ba 0.250 0.200 0.402
Ba4 Ba 0.250 0.238 0.969
Sn1 Sn 0.250 0.677 0.300
Sn2 Sn 0.750 0.323 0.700
As1 As 0.250 0.829 0.826
As2 As 0.750 0.171 0.174
```

***

A relaxed structure of BaTa2GaAs, computed with PBE.

Summary:
The formation energy comes out at 13.268 eV/f.u.

Cell and atoms, written as CIF:
```
data_BaTa2GaAs
_chemical_formula_sum 'Ba1 Ta2 Ga1 As1'
_cell_length_a 5.270
_cell_length_b 5.645
_cell_length_c 5.270
_cell_angle_alpha 90.00
_cell_angle_beta 90.00
_cell_angle_gamma 90.00
_space_group_name_H-M_alt 'P 1'
_space_group_IT_number 1
loop_
_space_group_symop_operation_xyz
'x,y,z'
loop_
_atom_site_label
_atom_site_type_symbol
_atom_site_fract_x
_atom_site_fract_y
_atom_site_fract_z
Ta1 Ta 0.500 0.000 0.000
Ta2 Ta 0.000 0.000 0.500
As1 As 0.000 0.500 0.000
Ga1 Ga 0.500 0.500 0.500
Ba1 Ba 0.000 0.000 0.000
```

***

A relaxed structure of BaGaTcAs2, computed with PBE.

Summary:
The formation energy comes out at 4.936 eV/f.u.

Cell and atoms, written as CIF:
```
data_BaGaTcAs2
_chemical_formula_sum 'Ba1 Ga1 Tc1 As2'
_cell_length_a 4.989
_cell_length_b 5.876
_cell_length_c 4.989
_cell_angle_alpha 90.00
_cell_angle_beta 90.00
_cell_angle_gamma 90.00
_space_group_name_H-M_alt 'P 1'
_space_group_IT_number 1
loop_
_space_group_symop_operation_xyz
'x,y,z'
loop_
_atom_site_label
_atom_site_type_symbol
_atom_site_fract_x
_atom_site_fract_y
_atom_site_fract_z
Tc1 Tc 0.500 0.500 0.500
As1 As 0.000 0.000 0.500
As2 As 0.500 0.000 0.000
Ba1 Ba 0.000 0.500 0.000
Ga1 Ga 0.000 0.000 0.000
```

***

A relaxed structure of BaTl2GaAs2, computed with PBE.

Summary:
The formation energy comes out at -2.302 eV/f.u.

Cell and atoms, written as CIF:
```
data_BaTl2GaAs2
_chemical_formula_sum 'Ba2 Tl4 Ga2 As4'
_cell_length_a 4.425
_cell_length_b 8.443
_cell_length_c 9.752
_cell_angle_alpha 90.00
_cell_angle_beta 90.00
_cell_angle_gamma 90.00
_space_group_name_H-M_alt 'P 1'
_space_group_IT_number 1
loop_
_space_group_symop_operation_xyz
'x,y,z'
loop_
_atom_site_label
_atom_site_type_symbol
_atom_site_fract_x
_atom_site_fract_y
_atom_site_fract_z
Ga1 Ga 0.500 0.634 0.349
Ga2 Ga 0.500 0.134 0.651
As1 As 0.000 0.184 0.793
As2 As 0.000 0.684 0.207
As3 As 0.500 0.302 0.422
As4 As 0.500 0.802 0.578
Tl1 Tl 0.500 0.588 0.989
Tl2 Tl 0.000 0.837 0.818
Tl3 Tl 0.500 0.088 0.011
Tl4 Tl 0.000 0.337 0.182
Ba1 Ba 0.000 0.000 0.401
Ba2 Ba 0.000 0.500 0.599
```

***

A relaxed structure of BaGaAsW2, computed with PBE.

Summary:
The formation energy comes out at 6.202 eV/f.u.

Cell and atoms, written as CIF:
```
data_BaGaAsW2
_chemical_formula_sum 'Ba1 Ga1 As1 W2'
_cell_length_a 4.742
_cell_length_b 6.025
_cell_length_c 4.742
_cell_angle_alpha 90.00
_cell_angle_beta 90.00
_cell_angle_gamma 90.00
_space_group_name_H-M_alt 'P 1'
_space_group_IT_number 1
loop_
_space_group_symop_operation_xyz
'x,y,z'
loop_
_atom_site_label
_atom_site_type_symbol
_atom_site_fract_x
_atom_site_fract_y
_atom_site_fract_z
Ba1 Ba 0.000 0.500 0.000
As1 As 0.000 0.000 0.000
W1 W 0.000 0.000 0.500
W2 W 0.500 0.000 0.000
Ga1 Ga 0.500 0.500 0.500
```

***

A relaxed structure of BaGdAs, computed with PBE.

Summary:
The formation energy comes out at -2.127 eV/f.u.

Cell and atoms, written as CIF:
```
data_BaGdAs
_chemical_formula_sum 'Ba1 Gd1 As1'
_cell_length_a 5.020
_cell_length_b 4.936
_cell_length_c 4.936
_cell_angle_alpha 120.00
_cell_angle_beta 90.00
_cell_angle_gamma 90.00
_space_group_name_H-M_alt 'P 1'
_space_group_IT_number 1
loop_
_space_group_symop_operation_xyz
'x,y,z'
loop_
_atom_site_label
_atom_site_type_symbol
_atom_site_fract_x
_atom_site_fract_y
_atom_site_fract_z
As1 As 0.166 0.000 0.000
Ba1 Ba 0.667 0.667 0.333
Gd1 Gd 0.167 0.333 0.667
```

***

A relaxed structure of BaGdAs2, computed with PBE.

Summary:
The formation energy comes out at -4.556 eV/f.u.

Cell and atoms, written as CIF:
```
data_BaGdAs2
_chemical_formula_sum 'Ba1 Gd1 As2'
_cell_length_a 4.402
_cell_length_b 4.402
_cell_length_c 7.835
_cell_angle_alpha 73.68
_cell_angle_beta 73.68
_cell_angle_gamma 60.00
_space_group_name_H-M_alt 'P 1'
_space_group_IT_number 1
loop_
_space_group_symop_operation_xyz
'x,y,z'
loop_
_atom_site_label
_atom_site_type_symbol
_atom_site_fract_x
_atom_site_fract_y
_atom_site_fract_z
As1 As 0.736 0.736 0.792
As2 As 0.264 0.264 0.208
Ba1 Ba 0.500 0.500 0.500
Gd1 Gd 0.000 0.000 0.000
```

***

A relaxed structure of Ba2GdAs, computed with PBE.

Summary:
The formation energy comes out at -0.955 eV/f.u.

Cell and atoms, written as CIF:
```
data_Ba2GdAs
_chemical_formula_sum 'Ba2 Gd1 As1'
_cell_length_a 4.447
_cell_length_b 4.447
_cell_length_c 12.015
_cell_angle_alpha 79.33
_cell_angle_beta 79.33
_cell_angle_gamma 60.00
_space_group_name_H-M_alt 'P 1'
_space_group_IT_number 1
loop_
_space_group_symop_operation_xyz
'x,y,z'
loop_
_atom_site_label
_atom_site_type_symbol
_atom_site_fract_x
_atom_site_fract_y
_atom_site_fract_z
Ba1 Ba 0.886 0.886 0.342
Ba2 Ba 0.114 0.114 0.658
As1 As 0.500 0.500 0.500
Gd1 Gd 0.000 0.000 0.000
```

***

Ordered raw total energy results: -19.6; -14.6; -46.5; -17.3; -38.7; -20.0; -19.7; -42.6; -29.3; -22.8; -29.9; -23.5; unit eV for the cell shown.
Ordered spin magnetization results: 0.00; 3.27; 0.00; 0.00; 0.00; 0.00; 3.94; 0.00; 0.00; 7.26; 6.54; 8.79; unit μB/f.u..